(1)
Material: NaNbFe2Cl
Method: DFT, PBE
State: optimized geometry Values from VASP.

The structure in Quantum ESPRESSO input format:
```
&SYSTEM
  ibrav = 0, nat = 5, ntyp = 4
/
ATOMIC_SPECIES
Na 22.99 Na.upf
Nb 92.91 Nb.upf
Fe 55.84 Fe.upf
Cl 35.45 Cl.upf
CELL_PARAMETERS angstrom
-0.094 4.087 -2.286
-4.602 -1.157 -1.878
-2.022 2.027 3.707
ATOMIC_POSITIONS crystal
Na 0.500 0.500 0.500
Nb 0.000 0.000 0.000
Fe 0.000 0.000 0.500
Fe 0.500 0.000 0.000
Cl 0.000 0.500 0.000
```

Output
space-group type: P4/mmm, No. 123
total magnetization: 3.85 μB per cell
density of states at the Fermi level: 1.56 states/eV/atom
formation energy from raw total energies: 0.76 eV per atom

(2)
Material: Na3MgBi4
Method: DFT, PBE
State: optimized geometry Values from VASP.

The structure in Quantum ESPRESSO input format:
```
&SYSTEM
  ibrav = 0, nat = 8, ntyp = 3
/
ATOMIC_SPECIES
Na 22.99 Na.upf
Mg 24.30 Mg.upf
Bi 208.98 Bi.upf
CELL_PARAMETERS angstrom
5.447 0.000 0.000
0.000 6.649 0.000
-2.723 -3.325 7.316
ATOMIC_POSITIONS crystal
Na 0.133 0.133 0.267
Na 0.867 0.867 0.733
Na 0.000 0.500 0.000
Mg 0.500 0.000 0.000
Bi 0.332 0.100 0.663
Bi 0.668 0.900 0.337
Bi 0.668 0.437 0.337
Bi 0.332 0.563 0.663
```

Output
space-group type: Immm, No. 71
total magnetization: 0.00 μB per cell
density of states at the Fermi level: 0.34 states/eV/atom
E above lowest polymorph: 0.1642 eV per atom